Entry 1:
The following is a PBE-GGA calculation of a geometry-optimized FeSb3Mo structure, from the Alexandria database.

Lattice parameters (Å, degrees): 4.949 4.949 4.949 90.00 90.00 90.00
Space group Pm-3m (No. 221)
One atom of each set of equivalent atoms:
1 Fe 0.000 0.000 0.000 (multiplicity 1)
2 Sb 0.000 0.000 0.500 (multiplicity 3)
3 Mo 0.500 0.500 0.500 (multiplicity 1)

Calculated values
Energy above the lowest structure with this stoichiometry: 0.0 kJ/mol of atoms
Energy relative to the elements, uncorrected: 0.9305 eV per atom

---

Entry 2:
The following is a PBE-GGA calculation of a geometry-optimized Fe2SbMo structure, from the Alexandria database.

Lattice parameters (Å, degrees): 3.818 3.959 3.985 90.00 90.00 90.00
Space group Pmmm (No. 47)
One atom of each set of equivalent atoms:
1 Fe 0.000 0.000 0.000 (multiplicity 1)
2 Fe 0.000 0.500 0.500 (multiplicity 1)
3 Sb 0.500 0.000 0.500 (multiplicity 1)
4 Mo 0.500 0.500 0.000 (multiplicity 1)

Calculated values
Energy relative to the elements, uncorrected: 0.2459 eV per atom

---

Entry 3:
The following is a PBE-GGA calculation of a geometry-optimized Fe2SbMo structure, from the Alexandria database.

Lattice parameters (Å, degrees): 2.872 4.193 5.148 90.00 96.80 90.00
Space group Pm (No. 6)
One atom of each set of equivalent atoms:
1 Fe 0.000 0.000 0.000 (multiplicity 1)
2 Fe 0.292 0.500 0.804 (multiplicity 1)
3 Sb 0.291 0.000 0.513 (multiplicity 1)
4 Mo 0.710 0.500 0.247 (multiplicity 1)

Calculated values
Energy relative to the elements, uncorrected: 0.3368 eV per atom

---

Entry 4:
The following is a PBE-GGA calculation of a geometry-optimized Fe2SbMo structure, from the Alexandria database.

Lattice parameters (Å, degrees): 6.207 6.207 6.207 90.00 90.00 90.00
Space group F-43m (No. 216)
One atom of each set of equivalent atoms:
1 Fe 0.000 0.000 0.000 (multiplicity 4)
2 Fe 0.250 0.250 0.250 (multiplicity 4)
3 Sb 0.000 0.000 0.500 (multiplicity 4)
4 Mo 0.250 0.250 0.750 (multiplicity 4)

Calculated values
Energy relative to the elements, uncorrected: 0.2462 eV per atom

---

Entry 5:
The following is a PBE-GGA calculation of a geometry-optimized FeSbMo2 structure, from the Alexandria database.

Lattice parameters (Å, degrees): 6.335 6.335 6.335 90.00 90.00 90.00
Space group F-43m (No. 216)
One atom of each set of equivalent atoms:
1 Fe 0.000 0.000 0.000 (multiplicity 4)
2 Sb 0.250 0.250 0.250 (multiplicity 4)
3 Mo 0.000 0.000 0.500 (multiplicity 4)
4 Mo 0.250 0.250 0.750 (multiplicity 4)

Calculated values
Energy relative to the elements, uncorrected: 0.3083 eV per atom

---

Entry 6:
The following is a PBE-GGA calculation of a geometry-optimized FeSb3Mo structure, from the Alexandria database.

Lattice parameters (Å, degrees): 5.218 5.218 5.218 90.00 90.00 90.00
Space group Pm-3m (No. 221)
One atom of each set of equivalent atoms:
1 Fe 0.000 0.000 0.000 (multiplicity 1)
2 Sb 0.000 0.500 0.500 (multiplicity 3)
3 Mo 0.500 0.500 0.500 (multiplicity 1)

Calculated values
Energy above the lowest structure with this stoichiometry: 7.3 kJ/mol of atoms
Energy relative to the elements, uncorrected: 1.0064 eV per atom

---

Entry 7:
The following is a PBE-GGA calculation of a geometry-optimized FeSbMo2 structure, from the Alexandria database.

Lattice parameters (Å, degrees): 3.0990 3.0990 24.4682 90.00 90.00 120.00
Space group R3m (No. 160, hexagonal axes)
One atom of each set of equivalent atoms:
1 Fe 0.0000 0.0000 0.0000 (multiplicity 3)
2 Sb 0.0000 0.0000 0.7521 (multiplicity 3)
3 Mo 0.0000 0.0000 0.2574 (multiplicity 3)
4 Mo 0.0000 0.0000 0.5123 (multiplicity 3)

Calculated values
Energy relative to the elements, uncorrected: 0.4343 eV per atom

---

Entry 8:
The following is a PBE-GGA calculation of a geometry-optimized FeSbMo2 structure, from the Alexandria database.

Lattice parameters (Å, degrees): 3.350 4.426 8.553 90.00 90.00 90.00
Space group Imm2 (No. 44)
One atom of each set of equivalent atoms:
1 Fe 0.000 0.000 0.000 (multiplicity 2)
2 Sb 0.000 0.500 0.261 (multiplicity 2)
3 Mo 0.000 0.000 0.496 (multiplicity 2)
4 Mo 0.000 0.500 0.744 (multiplicity 2)

Calculated values
Energy relative to the elements, uncorrected: 0.2245 eV per atom

---

Entry 9:
The following is a PBE-GGA calculation of a geometry-optimized FeSbMo2 structure, from the Alexandria database.

Lattice parameters (Å, degrees): 2.947 4.289 5.253 90.00 101.12 90.00
Space group Pm (No. 6)
One atom of each set of equivalent atoms:
1 Fe 0.000 0.000 0.000 (multiplicity 1)
2 Sb 0.989 0.500 0.724 (multiplicity 1)
3 Mo 0.410 0.000 0.458 (multiplicity 1)
4 Mo 0.635 0.500 0.199 (multiplicity 1)

Calculated values
Energy relative to the elements, uncorrected: 0.3158 eV per atom

---

Entry 10:
The following is a PBE-GGA calculation of a geometry-optimized FeSbMo2 structure, from the Alexandria database.

Lattice parameters (Å, degrees): 3.020 4.033 5.293 90.00 90.16 90.00
Space group P2/m (No. 10)
One atom of each set of equivalent atoms:
1 Fe 0.000 0.000 0.000 (multiplicity 1)
2 Sb 0.000 0.000 0.500 (multiplicity 1)
3 Mo 0.500 0.500 0.226 (multiplicity 2)

Calculated values
Energy relative to the elements, uncorrected: 0.3305 eV per atom

---

Entry 11:
The following is a PBE-GGA calculation of a geometry-optimized FeSbMo2 structure, from the Alexandria database.

Lattice parameters (Å, degrees): 3.402 4.711 8.334 90.00 90.00 90.00
Space group Cmm2 (No. 35)
One atom of each set of equivalent atoms:
1 Fe 0.000 0.000 0.000 (multiplicity 2)
2 Sb 0.000 0.500 0.749 (multiplicity 2)
3 Mo 0.000 0.000 0.472 (multiplicity 2)
4 Mo 0.000 0.500 0.226 (multiplicity 2)

Calculated values
Energy relative to the elements, uncorrected: 0.4300 eV per atom

---

Entry 12:
The following is a PBE-GGA calculation of a geometry-optimized FeSbMo2 structure, from the Alexandria database.

Lattice parameters (Å, degrees): 4.021 4.021 7.926 90.00 90.00 90.00
Space group I-4m2 (No. 119)
One atom of each set of equivalent atoms:
1 Fe 0.000 0.000 0.000 (multiplicity 2)
2 Sb 0.000 0.500 0.250 (multiplicity 2)
3 Mo 0.000 0.000 0.500 (multiplicity 2)
4 Mo 0.000 0.500 0.750 (multiplicity 2)

Calculated values
Energy relative to the elements, uncorrected: 0.2806 eV per atom

---

Entry 13:
The following is a PBE-GGA calculation of a geometry-optimized FeSb2Mo structure, from the Alexandria database.

Lattice parameters (Å, degrees): 3.355 3.355 6.347 90.00 90.00 90.00
Space group P4/mmm (No. 123)
One atom of each set of equivalent atoms:
1 Fe 0.000 0.000 0.000 (multiplicity 1)
2 Sb 0.500 0.500 0.248 (multiplicity 2)
3 Mo 0.000 0.000 0.500 (multiplicity 1)

Calculated values
Energy above the lowest structure with this stoichiometry: 16.9 kJ/mol of atoms
Energy relative to the elements, uncorrected: 0.3180 eV per atom

---

Entry 14:
The following is a PBE-GGA calculation of a geometry-optimized Fe2SbMo structure, from the Alexandria database.

Lattice parameters (Å, degrees): 2.9729 2.9729 24.3429 90.00 90.00 120.00
Space group R-3m (No. 166, hexagonal axes)
One atom of each set of equivalent atoms:
1 Fe 0.0000 0.0000 0.2456 (multiplicity 6)
2 Sb 0.0000 0.0000 0.0000 (multiplicity 3)
3 Mo 0.0000 0.0000 0.5000 (multiplicity 3)

Calculated values
Energy relative to the elements, uncorrected: 0.4847 eV per atom

---

Entry 15:
The following is a PBE-GGA calculation of a geometry-optimized Fe2SbMo structure, from the Alexandria database.

Lattice parameters (Å, degrees): 8.643 3.071 4.691 90.00 100.87 90.00
Space group C2/m (No. 12)
One atom of each set of equivalent atoms:
1 Fe 0.245 0.000 0.217 (multiplicity 4)
2 Sb 0.000 0.000 0.500 (multiplicity 2)
3 Mo 0.000 0.500 0.000 (multiplicity 2)

Calculated values
Energy relative to the elements, uncorrected: 0.3294 eV per atom

---

Entry 16:
The following is a PBE-GGA calculation of a geometry-optimized FeSbMo structure, from the Alexandria database.

Lattice parameters (Å, degrees): 4.3147 4.3147 2.9766 90.00 90.00 120.00
Space group P-6m2 (No. 187)
One atom of each set of equivalent atoms:
1 Fe 0.0000 0.0000 0.0000 (multiplicity 1)
2 Sb 0.3333 0.6667 0.0000 (multiplicity 1)
3 Mo 0.6667 0.3333 0.5000 (multiplicity 1)

Calculated values
Energy relative to the elements, uncorrected: 0.3552 eV per atom

---

Entry 17:
The following is a PBE-GGA calculation of a geometry-optimized FeSbMo2 structure, from the Alexandria database.

Lattice parameters (Å, degrees): 7.157 7.157 5.311 90.00 90.00 90.00
Space group I-42d (No. 122)
One atom of each set of equivalent atoms:
1 Fe 0.000 0.000 0.000 (multiplicity 4)
2 Sb 0.000 0.000 0.500 (multiplicity 4)
3 Mo 0.197 0.250 0.125 (multiplicity 8)

Calculated values
Energy relative to the elements, uncorrected: 0.6056 eV per atom

---

Entry 18:
The following is a PBE-GGA calculation of a geometry-optimized Fe2SbMo structure, from the Alexandria database.

Lattice parameters (Å, degrees): 3.171 3.171 5.972 90.00 90.00 90.00
Space group P4mm (No. 99)
One atom of each set of equivalent atoms:
1 Fe 0.000 0.000 0.000 (multiplicity 1)
2 Fe 0.500 0.500 0.210 (multiplicity 1)
3 Sb 0.500 0.500 0.746 (multiplicity 1)
4 Mo 0.000 0.000 0.449 (multiplicity 1)

Calculated values
Energy relative to the elements, uncorrected: 0.2735 eV per atom

---

Entry 19:
The following is a PBE-GGA calculation of a geometry-optimized FeSb2Mo structure, from the Alexandria database.

Lattice parameters (Å, degrees): 3.505 3.542 12.325 90.00 90.00 90.00
Space group Imm2 (No. 44)
One atom of each set of equivalent atoms:
1 Fe 0.000 0.000 0.000 (multiplicity 2)
2 Sb 0.000 0.000 0.574 (multiplicity 2)
3 Sb 0.000 0.500 0.337 (multiplicity 2)
4 Mo 0.000 0.500 0.742 (multiplicity 2)

Calculated values
Energy above the lowest structure with this stoichiometry: 16.7 kJ/mol of atoms
Energy relative to the elements, uncorrected: 0.3155 eV per atom

---

Entry 20:
The following is a PBE-GGA calculation of a geometry-optimized Fe3SbMo structure, from the Alexandria database.

Lattice parameters (Å, degrees): 4.522 4.522 4.522 90.00 90.00 90.00
Space group Pm-3m (No. 221)
One atom of each set of equivalent atoms:
1 Fe 0.000 0.000 0.500 (multiplicity 3)
2 Sb 0.500 0.500 0.500 (multiplicity 1)
3 Mo 0.000 0.000 0.000 (multiplicity 1)

Calculated values
Energy above the lowest structure with this stoichiometry: 0.0 kJ/mol of atoms
Energy relative to the elements, uncorrected: 1.3365 eV per atom